A plane-wave DFT calculation with GGA-PBE was carried out for a geometry-optimized NaScSb2I structure.

Cell: 5.528 5.528 6.017 Å, 90.00 90.00 90.00°
Positions (direct):
I (0.000, 0.000, 0.500)
Sb (0.000, 0.500, 0.000)
Sb (0.500, 0.000, 0.000)
Sc (0.000, 0.000, 0.000)
Na (0.500, 0.500, 0.500)

Summary:
space group = P4/mmm
energy above the lowest structure with this stoichiometry = 0.000 eV/atom
density of states at the Fermi level = 0.929 states/eV per atom


A plane-wave DFT calculation with GGA-PBE was carried out for a geometry-optimized Cu2WSe structure.

Cell: 4.758 4.758 4.758 Å, 68.38 68.38 37.09°
Positions (direct):
Cu (0.990, 0.990, 0.925)
Cu (0.733, 0.733, 0.842)
Se (0.526, 0.526, 0.384)
W (0.251, 0.251, 0.350)

Summary:
space group = Cm
density of states at the Fermi level = 0.187 states/eV per atom
uncorrected energy = -23.4 eV/f.u.


A plane-wave DFT calculation with GGA-PBE was carried out for a geometry-optimized Gd2TmAl structure.

Cell: 4.793 4.745 4.745 Å, 90.00 90.00 90.00°
Positions (direct):
Gd (0.000, 0.000, 0.500)
Gd (0.000, 0.500, 0.000)
Tm (0.500, 0.500, 0.500)
Al (0.500, 0.000, 0.000)

Summary:
space group = P4/mmm
energy above the lowest structure with this stoichiometry = 0.000 eV/atom
density of states at the Fermi level = 0.853 states/eV per atom
DFT formation energy = -0.197 eV per atom


A plane-wave DFT calculation with GGA-PBE was carried out for a geometry-optimized AcBiH2Rh2 structure.

Cell: 5.814 5.195 7.330 Å, 100.14 90.00 90.00°
Positions (direct):
Ac (0.750, 0.267, 0.627)
Ac (0.250, 0.733, 0.373)
Bi (0.250, 0.282, 0.914)
Bi (0.750, 0.718, 0.086)
H (0.250, 0.224, 0.353)
H (0.250, 0.652, 0.699)
H (0.750, 0.776, 0.647)
H (0.750, 0.348, 0.301)
Rh (0.504, 0.178, 0.212)
Rh (0.996, 0.178, 0.212)
Rh (0.004, 0.822, 0.788)
Rh (0.496, 0.822, 0.788)

Summary:
space group = P2_1/m
density of states at the Fermi level = 0.509 states/eV per atom
uncorrected energy = -31.8 eV/f.u.


A plane-wave DFT calculation with GGA-PBE was carried out for a geometry-optimized BeCdOsO5 structure.

Cell: 5.426 5.426 7.191 Å, 105.02 105.02 106.05°
Positions (direct):
Be (0.689, 0.311, 0.250)
Be (0.311, 0.689, 0.750)
Cd (0.339, 0.661, 0.250)
Cd (0.661, 0.339, 0.750)
Os (0.000, 0.000, 0.500)
Os (0.000, 0.000, 0.000)
O (0.078, 0.922, 0.250)
O (0.922, 0.078, 0.750)
O (0.897, 0.304, 0.119)
O (0.103, 0.696, 0.881)
O (0.696, 0.103, 0.381)
O (0.304, 0.897, 0.619)
O (0.757, 0.628, 0.407)
O (0.243, 0.372, 0.593)
O (0.372, 0.243, 0.093)
O (0.628, 0.757, 0.907)

Summary:
space group = C2/c
density of states at the Fermi level = 0.404 states/eV per atom
uncorrected energy = -51.5 eV/f.u.


A plane-wave DFT calculation with GGA-PBE was carried out for a geometry-optimized NaGeBi3 structure.

Cell: 5.486 5.486 5.486 Å, 90.00 90.00 90.00°
Positions (direct):
Na (0.000, 0.000, 0.000)
Ge (0.500, 0.500, 0.500)
Bi (0.000, 0.500, 0.000)
Bi (0.000, 0.000, 0.500)
Bi (0.500, 0.000, 0.000)

Summary:
space group = Pm-3m
energy above the lowest structure with this stoichiometry = 0.466 eV/atom
density of states at the Fermi level = 0.804 states/eV per atom
DFT formation energy = 0.810 eV per atom


A plane-wave DFT calculation with GGA-PBE was carried out for a geometry-optimized Pr2Zn7In structure.

Cell: 4.358 4.358 10.628 Å, 90.00 90.00 90.00°
Positions (direct):
Pr (0.500, 0.000, 0.737)
Pr (0.000, 0.500, 0.263)
Zn (0.000, 0.500, 0.853)
Zn (0.500, 0.000, 0.377)
Zn (0.500, 0.000, 0.147)
Zn (0.000, 0.500, 0.623)
Zn (0.000, 0.000, 0.500)
Zn (0.000, 0.000, 0.000)
Zn (0.500, 0.500, 0.500)
In (0.500, 0.500, 0.000)

Summary:
space group = P-4m2
density of states at the Fermi level = 0.611 states/eV per atom
DFT formation energy = -0.324 eV per atom


A plane-wave DFT calculation with GGA-PBE was carried out for a geometry-optimized Ac5PmDy4 structure.

Cell: 5.465 10.893 10.017 Å, 41.58 74.17 75.47°
Positions (direct):
Ac (0.201, 0.898, 0.700)
Ac (0.799, 0.102, 0.300)
Ac (0.399, 0.303, 0.899)
Ac (0.000, 0.500, 0.500)
Ac (0.601, 0.697, 0.101)
Pm (0.000, 0.000, 0.000)
Dy (0.600, 0.199, 0.601)
Dy (0.200, 0.399, 0.202)
Dy (0.800, 0.601, 0.798)
Dy (0.400, 0.801, 0.399)

Summary:
space group = C2/m
density of states at the Fermi level = 1.426 states/eV per atom
DFT formation energy = 0.046 eV per atom


A plane-wave DFT calculation with GGA-PBE was carried out for a geometry-optimized CaMgC structure.

Cell: 3.462 5.243 7.089 Å, 90.00 90.00 90.00°
Positions (direct):
C (0.000, 0.624, 0.791)
C (0.000, 0.376, 0.791)
Ca (0.500, 0.500, 0.514)
Ca (0.500, 0.000, 0.838)
Mg (0.000, 0.000, 0.315)
Mg (0.000, 0.500, 0.103)

Summary:
space group = Pmm2
density of states at the Fermi level = 0.321 states/eV per atom
DFT formation energy = 0.076 eV per atom